(1)
The following is a PBE calculation of an optimized crystal structure of Pr4Ho5Mg2, from the Alexandria database.

```
11
Lattice="-2.8467 -1.5920 -1.3495 6.7942 -9.2989 1.9797 -7.3014 10.1937 7.2657" Properties=species:S:1:pos:R:3 pbc="T T T"
Ho -1.1277 1.1149 2.9193
Pr -0.5971 -2.2571 2.0436
Pr -2.7569 1.5599 5.8522
Pr -7.6021 5.9727 6.1819
Mg 1.0449 -5.2805 2.0468
Pr 4.2481 -6.6699 1.7139
Mg -4.3989 4.5832 5.8490
Ho -1.4234 -0.7960 -0.6748
Ho -2.2263 -1.8122 4.9766
Ho -4.2455 2.8057 2.8907
Ho 0.8915 -3.5029 5.0051
```

Output
Formation energy, eV/atom: 0.0513
Crystal system: triclinic
M_tot, Bohr magnetons per cell: 0.00
DFT total energy, eV/atom: -4.057

(2)
The following is a PBE calculation of an optimized crystal structure of Pr4HoMg5, from the Alexandria database.

```
10
Lattice="3.8796 0.0000 0.0000 0.0000 3.8796 0.0000 0.0000 0.0000 19.4937" Properties=species:S:1:pos:R:3 pbc="T T T"
Pr 0.0000 0.0000 3.7996
Ho 0.0000 0.0000 0.0000
Mg 1.9398 1.9398 5.7845
Mg 1.9398 1.9398 1.8139
Mg 1.9398 1.9398 17.6798
Pr 0.0000 0.0000 7.7613
Pr 0.0000 0.0000 15.6941
Mg 1.9398 1.9398 9.7469
Pr 0.0000 0.0000 11.7325
Mg 1.9398 1.9398 13.7092
```

Output
Formation energy, eV/atom: -0.1047
Crystal system: tetragonal
M_tot, Bohr magnetons per cell: 0.00
DFT total energy, eV/atom: -3.272

(3)
The following is a PBE calculation of an optimized crystal structure of Pr6Ho12Mg, from the Alexandria database.

```
19
Lattice="-6.0462 -5.5451 2.3803 5.8818 -5.1623 3.4243 -0.7870 3.8869 7.5659" Properties=species:S:1:pos:R:3 pbc="T T T"
Ho 1.5021 -4.3542 7.7678
Pr -4.2788 -3.7333 8.7893
Pr 3.3274 -3.0871 4.5812
Mg 0.0000 0.0000 0.0000
Pr -2.7406 -4.8488 3.2508
Pr 1.7892 -1.9717 10.1198
Ho 0.3317 -4.6035 4.7107
Ho 0.9349 -1.4394 6.3676
Ho -2.2338 -1.3349 2.3476
Ho 1.2824 -5.4855 11.0229
Pr -1.5854 0.7767 6.2026
Ho -1.8863 -5.3810 7.0029
Ho -1.6936 -7.1515 9.9613
Ho -1.9052 -3.9691 11.5697
Ho 0.7422 0.3311 3.4092
Ho 0.9538 -2.8514 1.8009
Ho -1.2831 -2.2170 8.6599
Ho -2.4535 -2.4663 5.6027
Pr 0.6340 -7.5972 7.1679
```

Output
Formation energy, eV/atom: 0.1268
Crystal system: trigonal
M_tot, Bohr magnetons per cell: 0.00
Excess energy over the best structure of this formula in the dataset, meV per atom: 0.0
DFT total energy, eV/atom: -4.358

Question: Look up the formation energy of the second one.
Answer: -0.1047 eV/atom

Question: What is the DFT total energy in the third record?
Answer: -4.358 eV/atom